Here is a geometry-optimized TlCuRh2 structure from Alexandria. Energies are from GGA-PBE.

Cell and atoms, written as CIF:
```
data_TlCuRh2
_chemical_formula_sum 'Tl3 Cu3 Rh6'
_cell_length_a 3.0113
_cell_length_b 3.0113
_cell_length_c 24.8796
_cell_angle_alpha 90.00
_cell_angle_beta 90.00
_cell_angle_gamma 120.00
_symmetry_space_group_name_H-M 'R -3 m'
_symmetry_Int_Tables_number 166
_symmetry_space_group_name_Hall '-R 3 2"'
loop_
_atom_site_label
_atom_site_type_symbol
_atom_site_fract_x
_atom_site_fract_y
_atom_site_fract_z
Tl1 Tl 0.0000 0.0000 0.0000
Cu1 Cu 0.0000 0.0000 0.5000
Rh1 Rh 0.0000 0.0000 0.2444
```

## Properties
E_form, meV per atom: 314

***

Here is a geometry-optimized CuTc2Hg structure from Alexandria. Energies are from GGA-PBE.

Cell and atoms, written as CIF:
```
data_CuTc2Hg
_chemical_formula_sum 'Cu2 Tc4 Hg2'
_cell_length_a 3.7988
_cell_length_b 4.1807
_cell_length_c 7.7625
_cell_angle_alpha 90.00
_cell_angle_beta 90.00
_cell_angle_gamma 90.00
_symmetry_space_group_name_H-M 'I m m 2'
_symmetry_Int_Tables_number 44
loop_
_symmetry_equiv_pos_as_xyz
'x,y,z'
'-x,-y,z'
'-x,y,z'
'x,-y,z'
'x+1/2,y+1/2,z+1/2'
'-x+1/2,-y+1/2,z+1/2'
'-x+1/2,y+1/2,z+1/2'
'x+1/2,-y+1/2,z+1/2'
loop_
_atom_site_label
_atom_site_type_symbol
_atom_site_fract_x
_atom_site_fract_y
_atom_site_fract_z
Cu1 Cu 0.0000 0.0000 0.0000
Tc1 Tc 0.0000 0.0000 0.5111
Tc2 Tc 0.0000 0.5000 0.2440
Hg1 Hg 0.0000 0.5000 0.7497
```

## Properties
E_form, meV per atom: 473

***

Here is a geometry-optimized LaTb2DyTh structure from Alexandria. Energies are from GGA-PBE.

Cell and atoms, written as CIF:
```
data_LaTb2DyTh
_chemical_formula_sum 'La1 Tb2 Dy1 Th1'
_cell_length_a 3.5291
_cell_length_b 5.6943
_cell_length_c 8.7515
_cell_angle_alpha 90.00
_cell_angle_beta 90.05
_cell_angle_gamma 90.00
_symmetry_space_group_name_H-M 'P 1 2/m 1'
_symmetry_Int_Tables_number 10
loop_
_symmetry_equiv_pos_as_xyz
'x,y,z'
'-x,-y,-z'
'-x,y,-z'
'x,-y,z'
loop_
_atom_site_label
_atom_site_type_symbol
_atom_site_fract_x
_atom_site_fract_y
_atom_site_fract_z
La1 La 0.0000 0.0000 0.0000
Tb1 Tb 0.0012 0.5000 0.3215
Dy1 Dy 0.5000 0.0000 0.5000
Th1 Th 0.5000 0.5000 0.0000
```

## Properties
E_form, meV per atom: 287

***

Here is a geometry-optimized ZnCOF2 structure from Alexandria. Energies are from GGA-PBE.

Cell and atoms, written as CIF:
```
data_ZnCOF2
_chemical_formula_sum 'Zn1 C1 O1 F2'
_cell_length_a 3.8701
_cell_length_b 3.8701
_cell_length_c 3.9974
_cell_angle_alpha 90.00
_cell_angle_beta 90.00
_cell_angle_gamma 90.00
_symmetry_space_group_name_H-M 'P 4/m m m'
_symmetry_Int_Tables_number 123
_symmetry_space_group_name_Hall '-P 4 2'
loop_
_atom_site_label
_atom_site_type_symbol
_atom_site_fract_x
_atom_site_fract_y
_atom_site_fract_z
Zn1 Zn 0.0000 0.0000 0.0000
C1 C 0.5000 0.5000 0.5000
O1 O 0.0000 0.0000 0.5000
F1 F 0.0000 0.5000 0.0000
```

## Properties
Formation energy without anion corrections, eV per atom: 0.4376

***

Here is a geometry-optimized CrGeCS2 structure from Alexandria. Energies are from GGA-PBE.

Cell and atoms, written as CIF:
```
data_CrGeCS2
_chemical_formula_sum 'Cr1 Ge1 C1 S2'
_cell_length_a 4.3292
_cell_length_b 4.3292
_cell_length_c 4.9975
_cell_angle_alpha 90.00
_cell_angle_beta 90.00
_cell_angle_gamma 90.00
_symmetry_space_group_name_H-M 'P 4/m m m'
_symmetry_Int_Tables_number 123
_symmetry_space_group_name_Hall '-P 4 2'
loop_
_atom_site_label
_atom_site_type_symbol
_atom_site_fract_x
_atom_site_fract_y
_atom_site_fract_z
Cr1 Cr 0.0000 0.0000 0.0000
Ge1 Ge 0.0000 0.0000 0.5000
C1 C 0.5000 0.5000 0.5000
S1 S 0.0000 0.5000 0.0000
```

## Properties
Formation energy without anion corrections, eV per atom: 1.3997

***

Here is a geometry-optimized Sr2LaF structure from Alexandria. Energies are from GGA-PBE.

Cell and atoms, written as CIF:
```
data_Sr2LaF
_chemical_formula_sum 'Sr8 La4 F4'
_cell_length_a 7.7880
_cell_length_b 7.7880
_cell_length_c 10.3514
_cell_angle_alpha 90.00
_cell_angle_beta 90.00
_cell_angle_gamma 90.00
_symmetry_space_group_name_H-M 'I -4 2 d'
_symmetry_Int_Tables_number 122
_symmetry_space_group_name_Hall 'I -4 2bw'
loop_
_atom_site_label
_atom_site_type_symbol
_atom_site_fract_x
_atom_site_fract_y
_atom_site_fract_z
Sr1 Sr 0.0789 0.2500 0.1250
La1 La 0.0000 0.0000 0.5000
F1 F 0.0000 0.0000 0.0000
```

## Properties
Formation energy without anion corrections, eV per atom: -1.1876

***

Here is a geometry-optimized Be3Os structure from Alexandria. Energies are from GGA-PBE.

Cell and atoms, written as CIF:
```
data_Be3Os
_chemical_formula_sum 'Be6 Os2'
_cell_length_a 4.3055
_cell_length_b 4.3055
_cell_length_c 4.3055
_cell_angle_alpha 90.00
_cell_angle_beta 90.00
_cell_angle_gamma 90.00
_symmetry_space_group_name_H-M 'P m -3 n'
_symmetry_Int_Tables_number 223
_symmetry_space_group_name_Hall '-P 4n 2 3'
loop_
_atom_site_label
_atom_site_type_symbol
_atom_site_fract_x
_atom_site_fract_y
_atom_site_fract_z
Be1 Be 0.0000 0.2500 0.5000
Os1 Os 0.0000 0.0000 0.0000
```

## Properties
E_form, meV per atom: 56

***

Here is a geometry-optimized Zn2CoS4 structure from Alexandria. Energies are from GGA-PBE.

Cell and atoms, written as CIF:
```
data_Zn2CoS4
_chemical_formula_sum 'Zn4 Co2 S8'
_cell_length_a 4.6913
_cell_length_b 4.6913
_cell_length_c 11.3738
_cell_angle_alpha 90.00
_cell_angle_beta 90.00
_cell_angle_gamma 90.00
_symmetry_space_group_name_H-M 'I 4/m m m'
_symmetry_Int_Tables_number 139
_symmetry_space_group_name_Hall '-I 4 2'
loop_
_atom_site_label
_atom_site_type_symbol
_atom_site_fract_x
_atom_site_fract_y
_atom_site_fract_z
Zn1 Zn 0.0000 0.0000 0.1115
Co1 Co 0.0000 0.0000 0.5000
S1 S 0.0000 0.0000 0.3079
S2 S 0.0000 0.5000 0.0000
```

## Properties
Formation energy without anion corrections, eV per atom: 0.1157

***

Here is a geometry-optimized CuNiRu structure from Alexandria. Energies are from GGA-PBE.

Cell and atoms, written as CIF:
```
data_CuNiRu
_chemical_formula_sum 'Cu4 Ni4 Ru4'
_cell_length_a 4.4804
_cell_length_b 7.7597
_cell_length_c 4.5136
_cell_angle_alpha 90.00
_cell_angle_beta 109.16
_cell_angle_gamma 90.00
_symmetry_space_group_name_H-M 'C 1 2 1'
_symmetry_Int_Tables_number 5
loop_
_symmetry_equiv_pos_as_xyz
'x,y,z'
'-x,y,-z'
'x+1/2,y+1/2,z'
'-x+1/2,y+1/2,-z'
loop_
_atom_site_label
_atom_site_type_symbol
_atom_site_fract_x
_atom_site_fract_y
_atom_site_fract_z
Cu1 Cu 0.0000 0.0000 0.0000
Cu2 Cu 0.0000 0.3360 0.0000
Ni1 Ni 0.0000 0.6676 0.0000
Ni2 Ni 0.0000 0.8387 0.5000
Ru1 Ru 0.0000 0.1747 0.5000
Ru2 Ru 0.0000 0.5097 0.5000
```

## Properties
E_form, meV per atom: 149

***

Here is a geometry-optimized Ac2NdY3Bi6 structure from Alexandria. Energies are from GGA-PBE.

Cell and atoms, written as CIF:
```
data_Ac2NdY3Bi6
_chemical_formula_sum 'Ac4 Nd2 Y6 Bi12'
_cell_length_a 8.0477
_cell_length_b 13.9355
_cell_length_c 8.0205
_cell_angle_alpha 90.00
_cell_angle_beta 109.55
_cell_angle_gamma 90.00
_symmetry_space_group_name_H-M 'C 1 2/m 1'
_symmetry_Int_Tables_number 12
loop_
_symmetry_equiv_pos_as_xyz
'x,y,z'
'-x,-y,-z'
'-x,y,-z'
'x,-y,z'
'x+1/2,y+1/2,z'
'-x+1/2,-y+1/2,-z'
'-x+1/2,y+1/2,-z'
'x+1/2,-y+1/2,z'
loop_
_atom_site_label
_atom_site_type_symbol
_atom_site_fract_x
_atom_site_fract_y
_atom_site_fract_z
Ac1 Ac 0.0000 0.1657 0.0000
Nd1 Nd 0.0000 0.5000 0.0000
Y1 Y 0.0000 0.0000 0.5000
Y2 Y 0.0000 0.3305 0.5000
Bi1 Bi 0.2350 0.5000 0.7306
Bi2 Bi 0.2486 0.1628 0.7332
```

## Properties
E_form, meV per atom: -924

***

Here is a geometry-optimized MgNiRu structure from Alexandria. Energies are from GGA-PBE.

Cell and atoms, written as CIF:
```
data_MgNiRu
_chemical_formula_sum 'Mg8 Ni8 Ru8'
_cell_length_a 4.8034
_cell_length_b 8.2725
_cell_length_c 8.5195
_cell_angle_alpha 90.00
_cell_angle_beta 90.00
_cell_angle_gamma 90.00
_symmetry_space_group_name_H-M 'F m m m'
_symmetry_Int_Tables_number 69
_symmetry_space_group_name_Hall '-F 2 2'
loop_
_atom_site_label
_atom_site_type_symbol
_atom_site_fract_x
_atom_site_fract_y
_atom_site_fract_z
Mg1 Mg 0.0000 0.0000 0.1565
Ni1 Ni 0.2500 0.2500 0.2500
Ru1 Ru 0.0000 0.1476 0.5000
```

## Properties
E_form, meV per atom: 5